# 1
Material: La4NdRh
Method: DFT, GGA-PBE
State: optimized geometry

a b c (Å): 6.774 7.264 9.414
angles (deg): 106.26 111.07 90.02
Fractional positions:
Nd  0.948  0.750  0.000
La  0.501  0.019  0.192
La  0.691  0.519  0.192
La  0.715  0.375  0.628
Rh  0.500  0.000  0.500
La  0.285  0.625  0.372
La  0.087  0.126  0.372
La  0.309  0.481  0.808
Nd  0.052  0.250  0.000
Rh  0.000  0.500  0.500
La  0.913  0.874  0.628
La  0.499  0.981  0.808

Space group ... C2/c
DFT total energy ... -0.407 Ry/atom
DFT formation energy ... -1.41 eV per formula unit

***

# 2
Material: BiAsPb
Method: DFT, GGA-PBE
State: optimized geometry

a b c (Å): 5.940 7.845 7.845
angles (deg): 90.00 90.00 90.00
Fractional positions:
As  0.500  0.749  0.500
As  0.000  0.500  0.749
As  0.500  0.251  0.500
Pb  0.500  0.000  0.789
Bi  0.500  0.500  0.222
Bi  0.000  0.222  0.500
Pb  0.500  0.000  0.211
Pb  0.000  0.211  0.000
Bi  0.500  0.500  0.778
Pb  0.000  0.789  0.000
Bi  0.000  0.778  0.500
As  0.000  0.500  0.251

Space group ... P4_2/mmc
DFT total energy ... -0.292 Ry/atom
Energy relative to the lowest polymorph listed for this composition ... 41.3 meV/atom
DFT formation energy ... 0.32 eV per formula unit

***

- The highest DFT formation energy belongs to which entry?
  BiAsPb

***

- The highest DFT total energy belongs to which entry?
  BiAsPb

***

- DFT total energy of number 2 (BiAsPb)?
  -0.292 Ry/atom